Record 1
# Ce3ErTm2Bi6, relaxed, DFT PBE
# **Density of states at the Fermi level**: 1.705 states/eV per atom
# **E**: -5.342 eV/atom
# **ΔH_f (0 K)**: -0.79 eV per atom
# **Density**: 9.23 g/cm3
# **SG**: C2/m (12)
data_Ce3ErTm2Bi6
_chemical_formula_sum 'Ce3 Er1 Tm2 Bi6'
_cell_length_a 7.837
_cell_length_b 7.837
_cell_length_c 7.820
_cell_angle_alpha 99.62
_cell_angle_beta 99.62
_cell_angle_gamma 120.00
_symmetry_space_group_name_H-M 'P 1'
_symmetry_Int_Tables_number 1
_symmetry_space_group_name_Hall 'P 1'
loop_
_atom_site_label
_atom_site_type_symbol
_atom_site_fract_x
_atom_site_fract_y
_atom_site_fract_z
Er1 Er 0.000 0.000 0.000
Bi1 Bi 0.080 0.414 0.240
Bi2 Bi 0.586 0.920 0.760
Bi3 Bi 0.746 0.746 0.240
Bi4 Bi 0.254 0.254 0.760
Bi5 Bi 0.920 0.586 0.760
Bi6 Bi 0.414 0.080 0.240
Ce1 Ce 0.500 0.500 0.500
Ce2 Ce 0.834 0.166 0.500
Ce3 Ce 0.166 0.834 0.500
Tm1 Tm 0.333 0.667 0.000
Tm2 Tm 0.667 0.333 0.000


Record 2
# CeErTm2Bi4, relaxed, DFT PBE
# **Density of states at the Fermi level**: 0.867 states/eV per atom
# **E**: -5.159 eV/atom
# **ΔH_f (0 K)**: -0.79 eV per atom
# **Density**: 9.67 g/cm3
# **SG**: P2/m (10)
data_CeErTm2Bi4
_chemical_formula_sum 'Ce1 Er1 Tm2 Bi4'
_cell_length_a 4.487
_cell_length_b 7.757
_cell_length_c 7.754
_cell_angle_alpha 109.47
_cell_angle_beta 90.00
_cell_angle_gamma 90.00
_symmetry_space_group_name_H-M 'P 1'
_symmetry_Int_Tables_number 1
_symmetry_space_group_name_Hall 'P 1'
loop_
_atom_site_label
_atom_site_type_symbol
_atom_site_fract_x
_atom_site_fract_y
_atom_site_fract_z
Bi1 Bi 0.000 0.252 0.746
Bi2 Bi 0.500 0.256 0.257
Bi3 Bi 0.000 0.748 0.254
Bi4 Bi 0.500 0.744 0.743
Ce1 Ce 0.000 0.000 0.000
Tm1 Tm 0.000 0.500 0.500
Tm2 Tm 0.500 0.000 0.500
Er1 Er 0.500 0.500 0.000


Record 3
# Ce3Er2TmBi6, relaxed, DFT PBE
# **Density of states at the Fermi level**: 1.706 states/eV per atom
# **E**: -5.355 eV/atom
# **ΔH_f (0 K)**: -0.80 eV per atom
# **Density**: 9.21 g/cm3
# **SG**: C2/m (12)
data_Ce3Er2TmBi6
_chemical_formula_sum 'Ce3 Er2 Tm1 Bi6'
_cell_length_a 7.842
_cell_length_b 7.842
_cell_length_c 7.824
_cell_angle_alpha 99.62
_cell_angle_beta 99.62
_cell_angle_gamma 120.00
_symmetry_space_group_name_H-M 'P 1'
_symmetry_Int_Tables_number 1
_symmetry_space_group_name_Hall 'P 1'
loop_
_atom_site_label
_atom_site_type_symbol
_atom_site_fract_x
_atom_site_fract_y
_atom_site_fract_z
Ce1 Ce 0.500 0.500 0.500
Ce2 Ce 0.833 0.167 0.500
Ce3 Ce 0.167 0.833 0.500
Er1 Er 0.666 0.334 0.000
Er2 Er 0.334 0.666 0.000
Bi1 Bi 0.587 0.920 0.760
Bi2 Bi 0.252 0.252 0.759
Bi3 Bi 0.920 0.587 0.760
Bi4 Bi 0.413 0.080 0.240
Bi5 Bi 0.080 0.413 0.240
Bi6 Bi 0.748 0.748 0.241
Tm1 Tm 0.000 0.000 0.000


Record 4
# Ce2Y3ErBi6, relaxed, DFT PBE
# **Density of states at the Fermi level**: 1.112 states/eV per atom
# **E**: -5.774 eV/atom
# **ΔH_f (0 K)**: -0.85 eV per atom
# **Density**: 8.35 g/cm3
# **SG**: C2/m (12)
data_Ce2Y3ErBi6
_chemical_formula_sum 'Ce2 Y3 Er1 Bi6'
_cell_length_a 7.828
_cell_length_b 7.828
_cell_length_c 7.825
_cell_angle_alpha 99.61
_cell_angle_beta 99.61
_cell_angle_gamma 120.01
_symmetry_space_group_name_H-M 'P 1'
_symmetry_Int_Tables_number 1
_symmetry_space_group_name_Hall 'P 1'
loop_
_atom_site_label
_atom_site_type_symbol
_atom_site_fract_x
_atom_site_fract_y
_atom_site_fract_z
Er1 Er 0.000 0.000 0.000
Bi1 Bi 0.916 0.587 0.748
Bi2 Bi 0.243 0.243 0.745
Bi3 Bi 0.084 0.413 0.252
Bi4 Bi 0.413 0.084 0.252
Bi5 Bi 0.757 0.757 0.255
Bi6 Bi 0.587 0.916 0.748
Ce1 Ce 0.334 0.666 0.000
Ce2 Ce 0.666 0.334 0.000
Y1 Y 0.831 0.169 0.500
Y2 Y 0.500 0.500 0.500
Y3 Y 0.169 0.831 0.500


Record 5
# CeY3Er2Bi6, relaxed, DFT PBE
# **Density of states at the Fermi level**: 0.530 states/eV per atom
# **E**: -5.664 eV/atom
# **ΔH_f (0 K)**: -0.85 eV per atom
# **Density**: 8.61 g/cm3
# **SG**: C2/m (12)
data_CeY3Er2Bi6
_chemical_formula_sum 'Ce1 Y3 Er2 Bi6'
_cell_length_a 7.779
_cell_length_b 7.779
_cell_length_c 7.787
_cell_angle_alpha 99.60
_cell_angle_beta 99.60
_cell_angle_gamma 120.01
_symmetry_space_group_name_H-M 'P 1'
_symmetry_Int_Tables_number 1
_symmetry_space_group_name_Hall 'P 1'
loop_
_atom_site_label
_atom_site_type_symbol
_atom_site_fract_x
_atom_site_fract_y
_atom_site_fract_z
Bi1 Bi 0.745 0.745 0.248
Bi2 Bi 0.916 0.578 0.749
Bi3 Bi 0.578 0.916 0.749
Bi4 Bi 0.084 0.422 0.251
Bi5 Bi 0.255 0.255 0.752
Bi6 Bi 0.422 0.084 0.251
Er1 Er 0.333 0.667 0.000
Er2 Er 0.667 0.333 0.000
Y1 Y 0.164 0.836 0.500
Y2 Y 0.836 0.164 0.500
Y3 Y 0.500 0.500 0.500
Ce1 Ce 0.000 0.000 0.000


Record 6
# Ce3Y2ErBi6, relaxed, DFT PBE
# **Density of states at the Fermi level**: 1.698 states/eV per atom
# **E**: -5.714 eV/atom
# **ΔH_f (0 K)**: -0.83 eV per atom
# **Density**: 8.46 g/cm3
# **SG**: C2/m (12)
data_Ce3Y2ErBi6
_chemical_formula_sum 'Ce3 Y2 Er1 Bi6'
_cell_length_a 7.866
_cell_length_b 7.866
_cell_length_c 7.849
_cell_angle_alpha 99.62
_cell_angle_beta 99.62
_cell_angle_gamma 120.00
_symmetry_space_group_name_H-M 'P 1'
_symmetry_Int_Tables_number 1
_symmetry_space_group_name_Hall 'P 1'
loop_
_atom_site_label
_atom_site_type_symbol
_atom_site_fract_x
_atom_site_fract_y
_atom_site_fract_z
Er1 Er 0.000 0.000 0.000
Bi1 Bi 0.250 0.250 0.757
Bi2 Bi 0.750 0.750 0.243
Bi3 Bi 0.081 0.413 0.242
Bi4 Bi 0.919 0.587 0.758
Bi5 Bi 0.413 0.081 0.242
Bi6 Bi 0.587 0.919 0.758
Ce1 Ce 0.833 0.167 0.500
Ce2 Ce 0.167 0.833 0.500
Ce3 Ce 0.500 0.500 0.500
Y1 Y 0.334 0.666 0.000
Y2 Y 0.666 0.334 0.000


Record 7
# CeEu2Bi, relaxed, DFT PBE
# **Density of states at the Fermi level**: 2.163 states/eV per atom
# **E**: -7.962 eV/atom
# **ΔH_f (0 K)**: -0.37 eV per atom
# **Density**: 8.38 g/cm3
# **SG**: P4/mmm (123)
data_CeEu2Bi
_chemical_formula_sum 'Ce1 Eu2 Bi1'
_cell_length_a 5.051
_cell_length_b 5.061
_cell_length_c 5.061
_cell_angle_alpha 90.00
_cell_angle_beta 90.00
_cell_angle_gamma 90.00
_symmetry_space_group_name_H-M 'P 1'
_symmetry_Int_Tables_number 1
_symmetry_space_group_name_Hall 'P 1'
loop_
_atom_site_label
_atom_site_type_symbol
_atom_site_fract_x
_atom_site_fract_y
_atom_site_fract_z
Eu1 Eu 0.000 0.000 0.500
Eu2 Eu 0.000 0.500 0.000
Ce1 Ce 0.500 0.500 0.500
Bi1 Bi 0.500 0.000 0.000


Record 8
# CeEuBi, relaxed, DFT PBE
# **Density of states at the Fermi level**: 2.378 states/eV per atom
# **E**: -7.000 eV/atom
# **ΔH_f (0 K)**: -0.30 eV per atom
# **Density**: 8.37 g/cm3
# **SG**: P3m1 (156)
data_CeEuBi
_chemical_formula_sum 'Ce1 Eu1 Bi1'
_cell_length_a 3.855
_cell_length_b 5.456
_cell_length_c 5.456
_cell_angle_alpha 120.00
_cell_angle_beta 90.00
_cell_angle_gamma 90.00
_symmetry_space_group_name_H-M 'P 1'
_symmetry_Int_Tables_number 1
_symmetry_space_group_name_Hall 'P 1'
loop_
_atom_site_label
_atom_site_type_symbol
_atom_site_fract_x
_atom_site_fract_y
_atom_site_fract_z
Bi1 Bi 0.328 0.333 0.667
Eu1 Eu 0.617 0.667 0.333
Ce1 Ce 0.055 0.000 0.000


Record 9
# CeEuInBi, relaxed, DFT PBE
# **Density of states at the Fermi level**: 2.361 states/eV per atom
# **E**: -6.179 eV/atom
# **ΔH_f (0 K)**: -0.47 eV per atom
# **Density**: 8.28 g/cm3
# **SG**: F-43m (216)
data_CeEuInBi
_chemical_formula_sum 'Ce1 Eu1 In1 Bi1'
_cell_length_a 5.590
_cell_length_b 5.590
_cell_length_c 5.590
_cell_angle_alpha 60.00
_cell_angle_beta 60.00
_cell_angle_gamma 60.00
_symmetry_space_group_name_H-M 'P 1'
_symmetry_Int_Tables_number 1
_symmetry_space_group_name_Hall 'P 1'
loop_
_atom_site_label
_atom_site_type_symbol
_atom_site_fract_x
_atom_site_fract_y
_atom_site_fract_z
Ce1 Ce 0.000 0.000 0.000
In1 In 0.750 0.750 0.750
Eu1 Eu 0.500 0.500 0.500
Bi1 Bi 0.250 0.250 0.250


Record 10
# CeEuBiSb, relaxed, DFT PBE
# **Density of states at the Fermi level**: 1.822 states/eV per atom
# **E**: -6.807 eV/atom
# **Formation energy without anion corrections**: -0.75 eV/atom
# **Density**: 8.41 g/cm3
# **SG**: F-43m (216)
data_CeEuBiSb
_chemical_formula_sum 'Ce1 Eu1 Bi1 Sb1'
_cell_length_a 5.582
_cell_length_b 5.582
_cell_length_c 5.582
_cell_angle_alpha 60.00
_cell_angle_beta 60.00
_cell_angle_gamma 60.00
_symmetry_space_group_name_H-M 'P 1'
_symmetry_Int_Tables_number 1
_symmetry_space_group_name_Hall 'P 1'
loop_
_atom_site_label
_atom_site_type_symbol
_atom_site_fract_x
_atom_site_fract_y
_atom_site_fract_z
Eu1 Eu 0.750 0.750 0.750
Bi1 Bi 0.000 0.000 0.000
Sb1 Sb 0.500 0.500 0.500
Ce1 Ce 0.250 0.250 0.250


Record 11
# CeEuSnBi, relaxed, DFT PBE
# **Density of states at the Fermi level**: 2.078 states/eV per atom
# **E**: -6.594 eV/atom
# **ΔH_f (0 K)**: -0.57 eV per atom
# **Density**: 8.33 g/cm3
# **SG**: F-43m (216)
data_CeEuSnBi
_chemical_formula_sum 'Ce1 Eu1 Sn1 Bi1'
_cell_length_a 5.590
_cell_length_b 5.590
_cell_length_c 5.590
_cell_angle_alpha 60.00
_cell_angle_beta 60.00
_cell_angle_gamma 60.00
_symmetry_space_group_name_H-M 'P 1'
_symmetry_Int_Tables_number 1
_symmetry_space_group_name_Hall 'P 1'
loop_
_atom_site_label
_atom_site_type_symbol
_atom_site_fract_x
_atom_site_fract_y
_atom_site_fract_z
Bi1 Bi 0.750 0.750 0.750
Ce1 Ce 0.000 0.000 0.000
Sn1 Sn 0.250 0.250 0.250
Eu1 Eu 0.500 0.500 0.500


Record 12
# CeEuBiTe, relaxed, DFT PBE
# **Density of states at the Fermi level**: 1.946 states/eV per atom
# **E**: -6.792 eV/atom
# **Formation energy without anion corrections**: -0.98 eV/atom
# **Density**: 8.40 g/cm3
# **SG**: F-43m (216)
data_CeEuBiTe
_chemical_formula_sum 'Ce1 Eu1 Bi1 Te1'
_cell_length_a 5.602
_cell_length_b 5.602
_cell_length_c 5.602
_cell_angle_alpha 60.00
_cell_angle_beta 60.00
_cell_angle_gamma 60.00
_symmetry_space_group_name_H-M 'P 1'
_symmetry_Int_Tables_number 1
_symmetry_space_group_name_Hall 'P 1'
loop_
_atom_site_label
_atom_site_type_symbol
_atom_site_fract_x
_atom_site_fract_y
_atom_site_fract_z
Te1 Te 0.750 0.750 0.750
Ce1 Ce 0.500 0.500 0.500
Bi1 Bi 0.250 0.250 0.250
Eu1 Eu 0.000 0.000 0.000